(1)
Density functional theory data (PBE) for an optimized crystal structure of RbNbTc2.

Output
The total magnetization is 0.000 μB per formula unit. Its energy relative to the elements is 6.45 eV per formula unit. Its crystal system is tetragonal.

Structure (CIF):
```
data_RbNbTc2
_cell_length_a 5.026
_cell_length_b 5.026
_cell_length_c 9.409
_cell_angle_alpha 74.51
_cell_angle_beta 74.51
_cell_angle_gamma 90.00
_space_group_name_H-M_alt 'P 1'
_space_group_IT_number 1
_space_group_name_Hall 'P 1'
loop_
_atom_site_label
_atom_site_type_symbol
_atom_site_fract_x
_atom_site_fract_y
_atom_site_fract_z
Nb1 Nb 0.750 0.250 0.500
Nb2 Nb 0.000 0.000 0.000
Tc1 Tc 0.875 0.085 0.750
Tc2 Tc 0.915 0.625 0.250
Tc3 Tc 0.375 0.165 0.750
Tc4 Tc 0.835 0.125 0.250
Rb1 Rb 0.250 0.750 0.500
Rb2 Rb 0.500 0.500 0.000
```

=====

(2)
Density functional theory data (PBE) for an optimized crystal structure of RbNb3Tc.

Output
The total magnetization is 0.527 μB per formula unit. Its energy relative to the elements is 6.58 eV per formula unit. Its crystal system is cubic.

Structure (CIF):
```
data_RbNb3Tc
_cell_length_a 4.998
_cell_length_b 4.998
_cell_length_c 4.998
_cell_angle_alpha 90.00
_cell_angle_beta 90.00
_cell_angle_gamma 90.00
_space_group_name_H-M_alt 'P 1'
_space_group_IT_number 1
_space_group_name_Hall 'P 1'
loop_
_atom_site_label
_atom_site_type_symbol
_atom_site_fract_x
_atom_site_fract_y
_atom_site_fract_z
Tc1 Tc 0.000 0.000 0.000
Nb1 Nb 0.000 0.500 0.000
Nb2 Nb 0.000 0.000 0.500
Nb3 Nb 0.500 0.000 0.000
Rb1 Rb 0.500 0.500 0.500
```

=====

(3)
Density functional theory data (PBE) for an optimized crystal structure of RbNbTc2.

Output
The total magnetization is 0.001 μB per formula unit. Its energy relative to the elements is 6.15 eV per formula unit. Its crystal system is cubic.

Structure (CIF):
```
data_RbNbTc2
_cell_length_a 4.725
_cell_length_b 4.725
_cell_length_c 4.725
_cell_angle_alpha 60.00
_cell_angle_beta 60.00
_cell_angle_gamma 60.00
_space_group_name_H-M_alt 'P 1'
_space_group_IT_number 1
_space_group_name_Hall 'P 1'
loop_
_atom_site_label
_atom_site_type_symbol
_atom_site_fract_x
_atom_site_fract_y
_atom_site_fract_z
Nb1 Nb 0.500 0.500 0.500
Rb1 Rb 0.000 0.000 0.000
Tc1 Tc 0.750 0.750 0.750
Tc2 Tc 0.250 0.250 0.250
```

=====

(4)
Density functional theory data (PBE) for an optimized crystal structure of RbNb2Te.

Output
The total magnetization is 0.000 μB per formula unit. As for the formation energy without anion corrections: 0.781 eV per atom. Its crystal system is tetragonal.

Structure (CIF):
```
data_RbNb2Te
_cell_length_a 4.931
_cell_length_b 4.931
_cell_length_c 10.954
_cell_angle_alpha 76.99
_cell_angle_beta 76.99
_cell_angle_gamma 90.00
_space_group_name_H-M_alt 'P 1'
_space_group_IT_number 1
_space_group_name_Hall 'P 1'
loop_
_atom_site_label
_atom_site_type_symbol
_atom_site_fract_x
_atom_site_fract_y
_atom_site_fract_z
Rb1 Rb 0.500 0.500 0.000
Rb2 Rb 0.250 0.750 0.500
Nb1 Nb 0.823 0.125 0.250
Nb2 Nb 0.875 0.073 0.750
Nb3 Nb 0.927 0.625 0.250
Nb4 Nb 0.375 0.177 0.750
Te1 Te 0.000 0.000 0.000
Te2 Te 0.750 0.250 0.500
```